A relaxed RbMoN2 crystal, computed with GGA-PBE.

Geometry as CIF:
```
data_RbMoN2
_chemical_formula_sum 'Rb1 Mo1 N2'
_symmetry_space_group_name_H-M 'P 1 m 1'
_symmetry_Int_Tables_number 6
_cell_length_a 3.049
_cell_length_b 6.727
_cell_length_c 3.440
_cell_angle_alpha 90.00
_cell_angle_beta 90.14
_cell_angle_gamma 90.00
loop_
_symmetry_equiv_pos_as_xyz
'x,y,z'
'x,-y,z'
loop_
_atom_site_label
_atom_site_type_symbol
_atom_site_fract_x
_atom_site_fract_y
_atom_site_fract_z
Rb1 Rb 0.000 0.000 0.000
Mo1 Mo 0.134 0.500 0.501
N1 N 0.513 0.295 0.499
```

total DFT energy (no corrections): -7.0053 eV per atom
ΔE_f (raw): 0.107 eV/atom
total moment: 0.00 μB per cell
energy relative to the lowest polymorph listed for this composition: 519 meV per atom